The following is a DFT calculation (GGA+U) of a relaxed structure of Rb3Mo4P4O22.

Output
VASP energy = -913.81 eV per cell

a b c (Å): 10.271 10.271 19.635
angles (deg): 90.00 90.00 90.24
Site moments in Bohr magnetons follow the coordinates.
Fractional positions:
Mo 0.243 0.609 0.066  0.98
Mo 0.483 0.139 0.189  1.00
Mo 0.018 0.634 0.560  0.08
Mo 0.982 0.366 0.060  0.08
Mo 0.517 0.861 0.689  1.00
Mo 0.256 0.103 0.686  1.00
Mo 0.609 0.243 0.934  0.98
Mo 0.744 0.897 0.186  1.00
Mo 0.897 0.744 0.814  1.00
Mo 0.634 0.018 0.440  0.08
Mo 0.757 0.391 0.566  0.98
Mo 0.103 0.256 0.314  1.00
Mo 0.366 0.982 0.940  0.08
Mo 0.139 0.483 0.811  1.00
Mo 0.391 0.757 0.434  0.98
Mo 0.861 0.517 0.311  1.00
O 0.682 0.089 0.864  0.00
O 0.321 0.234 0.142  0.01
O 0.719 0.482 0.267  -0.08
O 0.150 0.252 0.635  0.01
O 0.154 0.738 0.000  0.02
O 0.637 0.948 0.762  0.01
O 0.519 0.716 0.354  0.01
O 0.252 0.150 0.365  0.01
O 0.069 0.120 0.266  -0.08
O 0.523 0.887 0.464  -0.03
O 0.318 0.911 0.364  0.00
O 0.185 0.600 0.894  0.01
O 0.880 0.931 0.234  -0.08
O 0.679 0.766 0.642  0.01
O 0.477 0.113 0.964  -0.03
O 0.172 0.731 0.604  0.00
O 0.317 0.093 0.859  0.01
O 0.016 0.613 0.784  0.04
O 0.647 0.250 0.615  0.01
O 0.482 0.719 0.733  -0.08
O 0.815 0.400 0.394  0.01
O 0.629 0.433 0.514  -0.09
O 0.518 0.281 0.233  -0.08
O 0.433 0.629 0.486  -0.09
O 0.023 0.792 0.896  0.01
O 0.931 0.880 0.766  -0.08
O 0.613 0.016 0.216  0.04
O 0.986 0.405 0.878  0.00
O 0.748 0.850 0.865  0.01
O 0.556 0.136 0.511  0.01
O 0.405 0.986 0.122  0.00
O 0.022 0.230 0.013  -0.01
O 0.984 0.387 0.284  0.04
O 0.731 0.172 0.396  0.00
O 0.208 0.977 0.604  0.01
O 0.906 0.514 0.125  0.00
O 0.136 0.556 0.489  0.01
O 0.595 0.014 0.622  0.00
O 0.683 0.907 0.359  0.01
O 0.770 0.978 0.487  -0.01
O 0.052 0.363 0.738  0.01
O 0.400 0.815 0.606  0.01
O 0.766 0.679 0.358  0.01
O 0.486 0.094 0.375  0.00
O 0.281 0.518 0.767  -0.08
O 0.911 0.318 0.636  0.00
O 0.716 0.519 0.646  0.01
O 0.262 0.846 0.500  0.02
O 0.014 0.595 0.378  0.00
O 0.180 0.409 0.390  0.00
O 0.250 0.647 0.385  0.01
O 0.750 0.353 0.885  0.01
O 0.089 0.682 0.136  0.00
O 0.567 0.371 0.986  -0.09
O 0.738 0.154 0.000  0.02
O 0.828 0.269 0.104  0.00
O 0.353 0.750 0.115  0.01
O 0.444 0.864 0.011  0.01
O 0.887 0.523 0.536  -0.03
O 0.846 0.262 0.500  0.02
O 0.094 0.486 0.625  0.00
O 0.977 0.208 0.396  0.01
O 0.387 0.984 0.716  0.04
O 0.656 0.767 0.252  0.01
O 0.120 0.069 0.734  -0.08
O 0.234 0.321 0.858  0.01
O 0.363 0.052 0.262  0.01
O 0.864 0.444 0.989  0.01
O 0.233 0.344 0.248  0.01
O 0.269 0.828 0.896  0.00
O 0.481 0.284 0.854  0.01
O 0.230 0.022 0.987  -0.01
O 0.978 0.770 0.513  -0.01
O 0.371 0.567 0.014  -0.09
O 0.409 0.180 0.610  0.00
O 0.344 0.233 0.752  0.01
O 0.284 0.481 0.146  0.01
O 0.514 0.906 0.875  0.00
O 0.850 0.748 0.135  0.01
O 0.113 0.477 0.036  -0.03
O 0.792 0.023 0.104  0.01
O 0.093 0.317 0.141  0.01
O 0.767 0.656 0.748  0.01
O 0.948 0.637 0.238  0.01
O 0.820 0.591 0.890  0.00
O 0.907 0.683 0.641  0.01
O 0.600 0.185 0.106  0.01
O 0.591 0.820 0.110  0.00
P 0.234 0.344 0.169  0.01
P 0.950 0.644 0.159  0.00
P 0.050 0.356 0.659  0.00
P 0.142 0.548 0.409  0.00
P 0.344 0.234 0.831  0.01
P 0.548 0.142 0.591  0.00
P 0.656 0.766 0.331  0.01
P 0.644 0.950 0.841  0.00
P 0.262 0.844 0.580  0.01
P 0.844 0.262 0.420  0.01
P 0.766 0.656 0.669  0.01
P 0.452 0.858 0.091  0.00
P 0.858 0.452 0.909  0.00
P 0.738 0.156 0.080  0.01
P 0.356 0.050 0.341  0.00
P 0.156 0.738 0.920  0.01
Rb 0.487 0.611 0.870  0.00
Rb 0.611 0.487 0.130  0.00
Rb 0.889 0.984 0.625  0.00
Rb 0.389 0.513 0.630  0.00
Rb 0.984 0.889 0.375  0.00
Rb 0.513 0.389 0.370  0.00
Rb 0.016 0.111 0.875  0.00
Rb 0.717 0.283 0.750  0.00
Rb 0.111 0.016 0.125  0.00
Rb 0.207 0.207 0.500  0.00
Rb 0.283 0.717 0.250  0.00
Rb 0.793 0.793 0.000  0.00